# 1
Pr3SnTe: optimized geometry, PBE.

The uncorrected formation energy comes out at -0.60 eV per atom. The density comes out at 5.36 Mg/m³.

The structure belongs to space group P-1 (No. 2); the cell edges are 4.458, 9.309 and 10.903 Å and the angles 108.87°, 90.06° and 103.82°. The asymmetric unit holds Pr at (0.019, 0.037, 0.175), Pr at (0.176, 0.351, 0.557), Pr at (0.347, 0.694, 0.949), Sn at (0.363, 0.728, 0.659) and Te at (0.160, 0.322, 0.838).


# 2
Pr4SnTe5: optimized geometry, PBE.

The uncorrected formation energy comes out at -1.18 eV per atom. The density comes out at 6.61 Mg/m³.

The structure belongs to space group R-3m (No. 166, hexagonal axes); the cell edges are 4.5399, 4.5399 and 55.7790 Å and the angles 90.00°, 90.00° and 120.00°. The asymmetric unit holds Pr at (0.0000, 0.0000, 0.0969), Pr at (0.0000, 0.0000, 0.2990), Sn at (0.0000, 0.0000, 0.5000), Te at (0.0000, 0.0000, 0.0000), Te at (0.0000, 0.0000, 0.1998) and Te at (0.0000, 0.0000, 0.3993).


# 3
Pr2SnTe: optimized geometry, PBE.

The uncorrected formation energy comes out at -0.97 eV per atom. The density comes out at 7.31 Mg/m³. Its energy above the most stable polymorph in this dataset is 165.0 meV/atom.

The structure belongs to space group P4/mmm (No. 123); the cell edges are 3.776, 3.776 and 8.414 Å and the angles 90.00°, 90.00° and 90.00°. The asymmetric unit holds Pr at (0.000, 0.000, 0.243), Sn at (0.500, 0.500, 0.500) and Te at (0.500, 0.500, 0.000).


# 4
Pr2SnTe5: optimized geometry, PBE.

The uncorrected formation energy comes out at -0.86 eV per atom. The density comes out at 4.93 Mg/m³.

The structure belongs to space group Cmcm (No. 63); the cell edges are 6.411, 15.456 and 14.117 Å and the angles 90.00°, 90.00° and 90.00°. The asymmetric unit holds Pr at (0.000, 0.172, 0.073), Sn at (0.000, 0.191, 0.750), Te at (0.000, 0.031, 0.596), Te at (0.000, 0.294, 0.250) and Te at (0.000, 0.315, 0.588).


# 5
Pr5Sn2Te: optimized geometry, PBE.

The uncorrected formation energy comes out at -0.61 eV per atom. The density comes out at 6.77 Mg/m³.

The structure belongs to space group Cmcm (No. 63); the cell edges are 5.951, 9.720 and 18.142 Å and the angles 90.00°, 90.00° and 90.00°. The asymmetric unit holds Pr at (0.000, 0.090, 0.092), Pr at (0.000, 0.321, 0.750), Pr at (0.000, 0.409, 0.085), Sn at (0.000, 0.246, 0.575) and Te at (0.000, 0.302, 0.250).


# 6
PrSn3Te6: optimized geometry, PBE.

The uncorrected formation energy comes out at -0.49 eV per atom. The density comes out at 6.22 Mg/m³.

The structure belongs to space group P2_1/m (No. 11); the cell edges are 12.960, 4.353 and 13.004 Å and the angles 90.00°, 113.13° and 90.00°. The asymmetric unit holds Pr at (0.213, 0.250, 0.055), Sn at (0.053, 0.750, 0.296), Sn at (0.351, 0.250, 0.466), Sn at (0.379, 0.750, 0.835), Te at (0.024, 0.750, 0.901), Te at (0.123, 0.250, 0.471), Te at (0.214, 0.250, 0.797), Te at (0.260, 0.750, 0.255), Te at (0.409, 0.750, 0.072) and Te at (0.451, 0.750, 0.637).


# 7
PrThSnTe: optimized geometry, PBE.

The uncorrected formation energy comes out at -0.80 eV per atom. The density comes out at 8.72 Mg/m³.

The structure belongs to space group F-43m (No. 216); the cell edges are 7.784, 7.784 and 7.784 Å and the angles 90.00°, 90.00° and 90.00°. The asymmetric unit holds Pr at (0.000, 0.000, 0.000), Th at (0.000, 0.000, 0.500), Sn at (0.250, 0.250, 0.250) and Te at (0.250, 0.250, 0.750).


# 8
Pr3Tl4SnTe8: optimized geometry, PBE.

The uncorrected formation energy comes out at -0.86 eV per atom. The density comes out at 6.73 Mg/m³.

The structure belongs to space group R-3m (No. 166, hexagonal axes); the cell edges are 9.1962, 9.1962 and 24.0650 Å and the angles 90.00°, 90.00° and 120.00°. The asymmetric unit holds Pr at (0.0000, 0.5000, 0.0000), Tl at (0.0000, 0.0000, 0.5000), Tl at (0.0000, 0.5000, 0.5000), Sn at (0.0000, 0.0000, 0.0000), Te at (0.0000, 0.0000, 0.2582) and Te at (0.0036, 0.5018, 0.7402).


Question: Which value of density does entry 1 give?
Answer: 5.36 Mg/m³